[1]
{"formula": "NbPd2Cl", "functional": "PBE", "state": "optimized geometry", "space_group": "Fm-3m, No. 225", "de_polymorph_mev_per_atom": 215, "e_form_raw_ev_per_fu": 1.4, "total_energy_ev_per_cell": -20.89, "lattice_angstrom": [[-4.167, -0.504, 1.893], [-2.956, 3.530, 0.032], [-3.746, -0.109, -2.676]], "species": ["Nb", "Pd", "Pd", "Cl"], "frac_coords": [[0.500, 0.500, 0.500], [0.250, 0.250, 0.250], [0.750, 0.750, 0.750], [0.000, 0.000, 0.000]]}



[2]
{"formula": "CeTiZn11", "functional": "PBE", "state": "optimized geometry", "space_group": "C2/m, No. 12", "total_energy_ev_per_cell": -29.70, "delta_e_f_ev_per_atom": -0.143, "lattice_angstrom": [[-2.359, 4.452, -1.786], [-6.489, 0.634, 2.266], [0.894, 5.355, 4.168]], "species": ["Ce", "Ti", "Zn", "Zn", "Zn", "Zn", "Zn", "Zn", "Zn", "Zn", "Zn", "Zn", "Zn"], "frac_coords": [[0.000, 0.000, 0.000], [0.500, 0.500, 0.000], [0.279, 0.218, 0.223], [0.721, 0.782, 0.777], [0.498, 0.782, 0.223], [0.502, 0.218, 0.777], [0.360, 0.648, 0.649], [0.640, 0.352, 0.351], [0.991, 0.352, 0.649], [0.009, 0.648, 0.351], [0.000, 0.500, 0.000], [0.500, 0.000, 0.500], [0.000, 0.000, 0.500]]}



[3]
{"formula": "CuTe", "functional": "PBE", "state": "optimized geometry", "space_group": "P-3m1, No. 164", "e_form_raw_ev_per_fu": -0.1, "total_energy_ev_per_cell": -14.67, "lattice_angstrom": [[3.945, 0.000, 0.000], [-1.972, 3.416, 0.000], [0.000, 0.000, 7.354]], "species": ["Te", "Te", "Cu", "Cu"], "frac_coords": [[0.000, 0.000, 0.388], [0.667, 0.333, 0.862], [0.000, 0.000, 0.034], [0.667, 0.333, 0.216]]}



[4]
{"formula": "Sc3InAg", "functional": "PBE", "state": "optimized geometry", "space_group": "Cmcm, No. 63", "de_polymorph_mev_per_atom": 0, "total_energy_ev_per_cell": -51.90, "delta_e_f_ev_per_atom": -0.273, "lattice_angstrom": [[4.782, 0.000, 1.093], [0.000, 4.904, 0.000], [0.326, 0.000, 9.583]], "species": ["Sc", "Sc", "Sc", "Sc", "Sc", "Sc", "In", "In", "Ag", "Ag"], "frac_coords": [[0.768, 0.250, 0.112], [0.382, 0.250, 0.885], [0.575, 0.250, 0.499], [0.266, 0.750, 0.115], [0.880, 0.750, 0.888], [0.074, 0.750, 0.501], [0.671, 0.750, 0.306], [0.977, 0.250, 0.694], [0.477, 0.750, 0.695], [0.172, 0.250, 0.305]]}



[5]
{"formula": "ZrSiRh3", "functional": "PBE", "state": "optimized geometry", "space_group": "Pm-3m, No. 221", "de_polymorph_mev_per_atom": 1411, "e_form_raw_ev_per_fu": 5.4, "total_energy_ev_per_cell": -30.58, "lattice_angstrom": [[-0.907, 3.757, 2.814], [-4.193, 0.640, -2.206], [-2.110, -2.886, 3.174]], "species": ["Si", "Rh", "Rh", "Rh", "Zr"], "frac_coords": [[0.500, 0.500, 0.500], [0.000, 0.500, 0.000], [0.000, 0.000, 0.500], [0.500, 0.000, 0.000], [0.000, 0.000, 0.000]]}



[6]
{"formula": "RbNbTeBr", "functional": "PBE", "state": "optimized geometry", "space_group": "Cm, No. 8", "de_polymorph_mev_per_atom": 56, "e_form_raw_ev_per_fu": -1.8, "total_energy_ev_per_cell": -17.67, "lattice_angstrom": [[-2.074, -3.104, 2.618], [0.279, -4.440, -1.070], [6.913, -0.722, 4.610]], "species": ["Nb", "Te", "Br", "Rb"], "frac_coords": [[0.739, 0.550, 0.480], [0.405, 0.217, 0.359], [0.736, 0.555, 0.797], [0.070, 0.887, 0.046]]}



[7]
{"formula": "NaTm2NpO6", "functional": "PBE", "state": "optimized geometry", "space_group": "R3, No. 146", "e_form_raw_ev_per_fu": -30.8, "total_energy_ev_per_cell": -83.76, "lattice_angstrom": [[-3.352, -1.220, 4.545], [-5.313, -2.119, -0.815], [-1.025, -5.827, 1.352]], "species": ["Na", "Tm", "Tm", "Np", "O", "O", "O", "O", "O", "O"], "frac_coords": [[0.797, 0.797, 0.609], [0.526, 0.526, 0.422], [0.015, 0.015, 0.954], [0.318, 0.318, 0.046], [0.605, 0.239, 0.231], [0.239, 0.925, 0.231], [0.925, 0.605, 0.231], [0.376, 0.704, 0.763], [0.704, 0.157, 0.763], [0.157, 0.376, 0.763]]}



[8]
{"formula": "Cs2MnInBr6", "functional": "PBE", "state": "optimized geometry", "space_group": "Fm-3m, No. 225", "e_form_raw_ev_per_fu": -11.9, "total_energy_ev_per_cell": -35.58, "lattice_angstrom": [[-4.759, -2.746, 5.690], [3.981, -6.835, 0.031], [3.080, -2.752, 6.746]], "species": ["Cs", "Cs", "Mn", "Br", "Br", "Br", "Br", "Br", "Br", "In"], "frac_coords": [[0.750, 0.250, 0.500], [0.250, 0.750, 0.500], [0.500, 0.500, 0.000], [0.262, 0.262, 0.476], [0.738, 0.738, 0.524], [0.262, 0.262, 0.000], [0.738, 0.738, 0.000], [0.738, 0.262, 0.000], [0.262, 0.738, 0.000], [0.000, 0.000, 0.000]]}



[9]
{"formula": "NaInTe2", "functional": "PBE", "state": "optimized geometry", "space_group": "Pna2_1, No. 33", "e_form_raw_ev_per_fu": -2.2, "total_energy_ev_per_cell": -50.26, "lattice_angstrom": [[-7.382, -1.739, 4.078], [3.716, -6.968, 3.754], [2.175, 4.261, 5.755]], "species": ["Na", "Na", "Na", "Na", "Te", "Te", "Te", "Te", "Te", "Te", "Te", "Te", "In", "In", "In", "In"], "frac_coords": [[0.128, 0.494, 0.192], [0.872, 0.506, 0.692], [0.372, 0.994, 0.692], [0.628, 0.006, 0.192], [0.318, 0.829, 0.090], [0.682, 0.171, 0.590], [0.182, 0.329, 0.590], [0.818, 0.671, 0.090], [0.069, 0.828, 0.550], [0.931, 0.172, 0.050], [0.431, 0.328, 0.050], [0.569, 0.672, 0.550], [0.020, 0.883, 0.918], [0.980, 0.117, 0.418], [0.480, 0.383, 0.418], [0.520, 0.617, 0.918]]}



[10]
{"formula": "PmPuNiBi", "functional": "PBE", "state": "optimized geometry", "space_group": "F-43m, No. 216", "total_energy_ev_per_cell": -29.38, "delta_e_f_ev_per_atom": -0.158, "lattice_angstrom": [[5.262, 0.000, 0.000], [2.631, 4.557, 0.000], [2.631, 1.519, 4.296]], "species": ["Ni", "Pm", "Bi", "Pu"], "frac_coords": [[0.000, 0.000, 0.000], [0.750, 0.750, 0.750], [0.500, 0.500, 0.500], [0.250, 0.250, 0.250]]}



[11]
{"formula": "ErHfSc3", "functional": "PBE", "state": "optimized geometry", "space_group": "C2/m, No. 12", "de_polymorph_mev_per_atom": 72, "total_energy_ev_per_cell": -65.56, "delta_e_f_ev_per_atom": 0.146, "lattice_angstrom": [[-2.329, 4.326, -3.999], [-5.680, -6.623, 1.161], [3.459, 5.977, 4.451]], "species": ["Er", "Er", "Hf", "Hf", "Sc", "Sc", "Sc", "Sc", "Sc", "Sc"], "frac_coords": [[0.557, 0.114, 0.894], [0.443, 0.886, 0.106], [0.067, 0.133, 0.862], [0.933, 0.867, 0.138], [0.099, 0.693, 0.309], [0.793, 0.585, 0.585], [0.594, 0.693, 0.309], [0.406, 0.307, 0.691], [0.901, 0.307, 0.691], [0.207, 0.415, 0.415]]}



[12]
{"formula": "C3Se", "functional": "PBE", "state": "optimized geometry", "space_group": "P-6m2, No. 187", "de_polymorph_mev_per_atom": 912, "e_form_raw_ev_per_fu": 8.9, "total_energy_ev_per_cell": -22.22, "lattice_angstrom": [[2.597, 0.000, 0.000], [-1.299, 2.249, 0.000], [0.000, 0.000, 9.261]], "species": ["C", "C", "C", "Se"], "frac_coords": [[0.000, 0.000, 0.162], [0.000, 0.000, 0.338], [0.667, 0.333, 0.250], [0.667, 0.333, 0.750]]}